Compound: Ca2YHgRh
Source: Alexandria via LeMat-Bulk
Functional: PBE
Structure: optimized geometry

a b c (Å): 5.4803 5.4803 5.2926
angles (deg): 90.00 90.00 90.00
Positions (direct):
1 Y 0.0000 0.0000 0.5000
2 Hg 0.5000 0.5000 0.5000
3 Rh 0.0000 0.0000 0.0000
4 Ca 0.0000 0.5000 0.0000
5 Ca 0.5000 0.0000 0.0000

Crystal system: tetragonal
DFT formation energy: -0.304 eV/atom
Energy above the most stable polymorph in this dataset: 0.00 eV/f.u.
D(E_F): 0.51 states/eV/atom
Total magnetic moment: 0.00 μB/f.u.
Density: 4.9 g cm⁻³